[1]
A plane-wave DFT calculation with PBE was carried out for Fe2SbTe after structural relaxation.

E_form (uncorrected) in eV per atom: 0.7844
DOS at the Fermi energy in states/eV/atom: 1.20
Crystal system: cubic
Volume in A^3/atom: 19.64

a = 4.8075 Å, b = 4.8075 Å, c = 4.8075 Å
α = 60.00°, β = 60.00°, γ = 60.00°
Last column: nearest neighbours and their distance in Å.
Atoms (fractional coordinates):
Fe (0.0000, 0.0000, 0.0000)  4 Te 2.94, 4 Fe 2.94
Te (0.7500, 0.7500, 0.7500)  4 Sb 2.94, 4 Fe 2.94
Sb (0.5000, 0.5000, 0.5000)  4 Fe 2.94, 4 Te 2.94
Fe (0.2500, 0.2500, 0.2500)  4 Fe 2.94, 4 Sb 2.94


[2]
A plane-wave DFT calculation with PBE was carried out for Fe2SbTe after structural relaxation.

E_form (uncorrected) in eV per atom: 0.0908
DOS at the Fermi energy in states/eV/atom: 0.63
Crystal system: tetragonal
Volume in A^3/atom: 20.41

a = 3.2418 Å, b = 3.2418 Å, c = 7.7674 Å
α = 90.00°, β = 90.00°, γ = 90.00°
Last column: nearest neighbours and their distance in Å.
Atoms (fractional coordinates):
Fe (0.5000, 0.5000, 0.1971)  4 Fe 2.57, 1 Te 2.70, 4 Sb 2.80
Sb (0.0000, 0.0000, 0.4041)  5 Fe 2.76-2.80
Fe (0.0000, 0.0000, 0.0486)  4 Fe 2.57, 1 Sb 2.76, 4 Te 2.76
Te (0.5000, 0.5000, 0.8501)  5 Fe 2.70-2.76


[3]
A plane-wave DFT calculation with PBE was carried out for Fe2SbTe after structural relaxation.

E_form (uncorrected) in eV per atom: 0.1598
DOS at the Fermi energy in states/eV/atom: 1.01
Crystal system: monoclinic
Volume in A^3/atom: 18.38

a = 4.1748 Å, b = 3.7088 Å, c = 5.0970 Å
α = 68.71°, β = 90.00°, γ = 90.00°
Last column: nearest neighbours and their distance in Å.
Atoms (fractional coordinates):
Fe (0.0000, 0.1936, 0.9879)  2 Fe 2.46, 2 Sb 2.72
Te (0.5000, 0.7653, 0.8424)  7 Fe 2.72-2.88
Sb (0.0000, 0.4846, 0.4077)  7 Fe 2.72-2.88
Fe (0.5000, 0.0565, 0.2620)  2 Fe 2.46, 2 Te 2.72


[4]
A plane-wave DFT calculation with PBE was carried out for Fe2SbTe after structural relaxation.

E_form (uncorrected) in eV per atom: 0.4139
DOS at the Fermi energy in states/eV/atom: 1.32
Crystal system: tetragonal
Volume in A^3/atom: 17.34

a = 3.2664 Å, b = 3.2664 Å, c = 6.5022 Å
α = 90.00°, β = 90.00°, γ = 89.98°
Last column: nearest neighbours and their distance in Å.
Atoms (fractional coordinates):
Sb (0.5000, 0.5000, 0.2500)  8 Fe 2.83
Te (0.5000, 0.5000, 0.7500)  8 Fe 2.82
Fe (0.0000, 0.0000, 0.9980)  4 Te 2.82, 4 Sb 2.83
Fe (0.0000, 0.0000, 0.5020)  4 Te 2.82, 4 Sb 2.83


[5]
A plane-wave DFT calculation with PBE was carried out for FeSb3Te after structural relaxation.

E_form (uncorrected) in eV per atom: 0.2835
DOS at the Fermi energy in states/eV/atom: 0.89
Crystal system: cubic
Volume in A^3/atom: 25.37

a = 5.0244 Å, b = 5.0244 Å, c = 5.0244 Å
α = 90.00°, β = 90.00°, γ = 90.00°
Last column: nearest neighbours and their distance in Å.
Atoms (fractional coordinates):
Sb (0.0000, 0.5000, 0.0000)  2 Fe 2.51
Sb (0.0000, 0.0000, 0.5000)  2 Fe 2.51
Fe (0.0000, 0.0000, 0.0000)  6 Sb 2.51
Sb (0.5000, 0.0000, 0.0000)  2 Fe 2.51
Te (0.5000, 0.5000, 0.5000)  12 Sb 3.55


[6]
A plane-wave DFT calculation with PBE was carried out for Fe2SbTe after structural relaxation.

E_form (uncorrected) in eV per atom: 0.3770
DOS at the Fermi energy in states/eV/atom: 1.31
Crystal system: trigonal
Volume in A^3/atom: 18.02

a = 7.6713 Å, b = 7.6713 Å, c = 7.6713 Å
α = 25.21°, β = 25.21°, γ = 25.21°
Last column: nearest neighbours and their distance in Å.
Atoms (fractional coordinates):
Fe (0.4997, 0.4997, 0.4997)  3 Te 2.67, 3 Sb 2.68
Fe (0.0003, 0.0003, 0.0003)  3 Te 2.67, 3 Sb 2.68
Te (0.7500, 0.7500, 0.7500)  6 Fe 2.67
Sb (0.2500, 0.2500, 0.2500)  6 Fe 2.68


[7]
A plane-wave DFT calculation with PBE was carried out for Fe2SbTe after structural relaxation.

E_form (uncorrected) in eV per atom: 0.4148
DOS at the Fermi energy in states/eV/atom: 1.36
Crystal system: cubic
Volume in A^3/atom: 17.32

a = 4.6098 Å, b = 4.6098 Å, c = 4.6098 Å
α = 60.00°, β = 60.00°, γ = 60.00°
Last column: nearest neighbours and their distance in Å.
Atoms (fractional coordinates):
Fe (0.2500, 0.2500, 0.2500)  4 Sb 2.82, 4 Te 2.82
Sb (0.0000, 0.0000, 0.0000)  8 Fe 2.82
Te (0.5000, 0.5000, 0.5000)  8 Fe 2.82
Fe (0.7500, 0.7500, 0.7500)  4 Sb 2.82, 4 Te 2.82


[8]
A plane-wave DFT calculation with PBE was carried out for FeSb3Te after structural relaxation.

E_form (uncorrected) in eV per atom: 0.2100
DOS at the Fermi energy in states/eV/atom: 0.79
Crystal system: monoclinic
Volume in A^3/atom: 27.96

a = 5.1958 Å, b = 5.0094 Å, c = 11.0001 Å
α = 90.00°, β = 90.00°, γ = 77.59°
Last column: nearest neighbours and their distance in Å.
Atoms (fractional coordinates):
Te (0.9047, 0.6454, 0.7500)  2 Fe 2.51-2.58
Fe (0.1851, 0.8277, 0.2500)  2 Te 2.51-2.58, 4 Sb 2.54-2.67
Sb (0.6660, 0.2198, 0.5203)  1 Fe 2.64
Fe (0.8149, 0.1723, 0.7500)  2 Te 2.51-2.58, 4 Sb 2.54-2.67
Sb (0.6637, 0.8690, 0.2500)  2 Fe 2.54-2.67
Sb (0.3340, 0.7802, 0.0203)  1 Fe 2.64
Sb (0.3363, 0.1310, 0.7500)  2 Fe 2.54-2.67
Sb (0.6660, 0.2198, 0.9797)  1 Fe 2.64
Te (0.0953, 0.3546, 0.2500)  2 Fe 2.51-2.58
Sb (0.3340, 0.7802, 0.4797)  1 Fe 2.64


Question: What is the formula in the eighth record?
Answer: FeSb3Te


Question: The lowest E_form (uncorrected) belongs to which entry?
Answer: number 2